Computed, not measured: crystalline ErGaN2 at its relaxed geometry at the PBE-GGA level of DFT.

Cell lengths 3.2882, 3.2882, 5.4569 Å; angles 72.47, 72.47, 60.00 degrees
Last column: nearest neighbours and their distance in Å.
Fractional positions:
N 0.2564 0.2564 0.2307  3 Ga 2.24, 3 Er 2.35
N 0.7436 0.7436 0.7693  3 Ga 2.24, 3 Er 2.35
Ga 0.0000 0.0000 0.0000  6 N 2.24
Er 0.5000 0.5000 0.5000  6 N 2.35

Results
Crystal system   trigonal
Electronic total energy   -6.873 eV per atom

***

Computed, not measured: crystalline Er12Ga6N at its relaxed geometry at the PBE-GGA level of DFT.

Cell lengths 7.8277, 7.8277, 7.8277 Å; angles 93.77, 93.77, 93.77 degrees
Last column: nearest neighbours and their distance in Å.
Fractional positions:
Er 0.8040 0.5817 0.4560  4 Ga 2.90-3.08
Er 0.4560 0.8040 0.5817  4 Ga 2.90-3.08
Er 0.5817 0.4560 0.8040  4 Ga 2.90-3.08
Er 0.1960 0.4183 0.5440  4 Ga 2.90-3.08
Er 0.5440 0.1960 0.4183  4 Ga 2.90-3.08
Er 0.4183 0.5440 0.1960  4 Ga 2.90-3.08
Er 0.9600 0.0757 0.2936  1 N 2.38
Er 0.9243 0.7064 0.0400  1 N 2.38
Er 0.7064 0.0400 0.9243  1 N 2.38
Er 0.0400 0.9243 0.7064  1 N 2.38
Er 0.0757 0.2936 0.9600  1 N 2.38
Er 0.2936 0.9600 0.0757  1 N 2.38
Ga 0.6418 0.8559 0.2525  8 Er 2.90-3.15
Ga 0.7475 0.3582 0.1441  8 Er 2.90-3.15
Ga 0.1441 0.7475 0.3582  8 Er 2.90-3.15
Ga 0.3582 0.1441 0.7475  8 Er 2.90-3.15
Ga 0.2525 0.6418 0.8559  8 Er 2.90-3.15
Ga 0.8559 0.2525 0.6418  8 Er 2.90-3.15
N 0.0000 0.0000 0.0000  6 Er 2.38

Results
Crystal system   trigonal
Electronic total energy   -4.775 eV per atom

***

Computed, not measured: crystalline ErPa2GaN5 at its relaxed geometry at the PBE-GGA level of DFT.

Cell lengths 3.4209, 7.0464, 10.6772 Å; angles 90.00, 90.00, 104.05 degrees
Last column: nearest neighbours and their distance in Å.
Fractional positions:
Er 0.7903 0.5806 0.4870  6 N 2.25-2.43
Er 0.2097 0.4194 0.9870  6 N 2.25-2.43
Pa 0.8726 0.7452 0.7623  6 N 2.33-2.42
Pa 0.1349 0.2697 0.6954  5 N 2.24-2.44
Pa 0.1274 0.2548 0.2623  6 N 2.33-2.42
Pa 0.8651 0.7303 0.1954  5 N 2.24-2.44
Ga 0.5011 0.0022 0.9871  4 N 1.98-2.01
Ga 0.4989 0.9978 0.4871  4 N 1.98-2.01
N 0.3657 0.7314 0.0531  1 Ga 1.98
N 0.7065 0.4130 0.8303  3 Pa 2.38-2.44, 2 Er 2.39
N 0.4841 0.9682 0.8001  1 Ga 2.01
N 0.2942 0.5885 0.6482  3 Pa 2.24-2.36, 2 Er 2.43
N 0.9529 0.9058 0.5603  2 Ga 1.98
N 0.6343 0.2686 0.5531  1 Ga 1.98
N 0.2935 0.5870 0.3303  3 Pa 2.38-2.44, 2 Er 2.39
N 0.5159 0.0318 0.3001  1 Ga 2.01
N 0.7058 0.4115 0.1482  3 Pa 2.24-2.36, 2 Er 2.43
N 0.0471 0.0942 0.0603  2 Ga 1.98

Results
Crystal system   orthorhombic
Electronic total energy   -8.824 eV per atom

***

Computed, not measured: crystalline Er4GaPbN at its relaxed geometry at the PBE-GGA level of DFT.

Cell lengths 6.5410, 6.5478, 8.5038 Å; angles 90.00, 112.62, 90.00 degrees
Last column: nearest neighbours and their distance in Å.
Fractional positions:
Er 0.9075 0.2500 0.8150  1 N 2.44
Er 0.4192 0.7500 0.8385  1 N 2.69
Er 0.0925 0.7500 0.1850  1 N 2.44
Er 0.5808 0.2500 0.1615  1 N 2.69
Er 0.5000 0.5000 0.5000  2 N 2.31
Er 0.0000 0.0000 0.5000  2 N 2.31
Er 0.5000 0.0000 0.5000  2 N 2.31
Er 0.0000 0.5000 0.5000  2 N 2.31
Ga 0.6154 0.7500 0.2309  9 Er 3.08-3.32
Ga 0.3846 0.2500 0.7691  9 Er 3.08-3.32
Pb 0.1051 0.2500 0.2102  9 Er 3.10-3.29
Pb 0.8949 0.7500 0.7898  9 Er 3.10-3.29
N 0.2477 0.7500 0.4954  5 Er 2.31-2.44
N 0.7523 0.2500 0.5046  5 Er 2.31-2.44

Results
Crystal system   orthorhombic
Electronic total energy   -5.600 eV per atom

***

Computed, not measured: crystalline PrErGaN3 at its relaxed geometry at the PBE-GGA level of DFT.

Cell lengths 3.4495, 7.3037, 7.6476 Å; angles 98.08, 90.00, 90.00 degrees
Last column: nearest neighbours and their distance in Å.
Fractional positions:
Pr 0.2500 0.1783 0.1889  3 N 2.46-2.50
Pr 0.7500 0.8217 0.8111  3 N 2.46-2.50
Er 0.2500 0.6402 0.1514  5 N 2.23-2.42
Er 0.7500 0.3598 0.8486  5 N 2.23-2.42
Ga 0.2500 0.1071 0.6043  4 N 1.93-2.05
Ga 0.7500 0.8929 0.3957  4 N 1.93-2.05
N 0.7500 0.8679 0.1415  1 Ga 1.93
N 0.2500 0.1321 0.8585  1 Ga 1.93
N 0.2500 0.8313 0.5056  3 Ga 2.00-2.05
N 0.7500 0.1687 0.4944  3 Ga 2.00-2.05
N 0.7500 0.4074 0.1428  3 Er 2.23-2.42, 2 Pr 2.46
N 0.2500 0.5926 0.8572  3 Er 2.23-2.42, 2 Pr 2.46

Results
Crystal system   monoclinic
Electronic total energy   -7.197 eV per atom

***

Computed, not measured: crystalline Er2ScGaN at its relaxed geometry at the PBE-GGA level of DFT.

Cell lengths 4.4202, 4.6889, 4.6889 Å; angles 90.00, 90.00, 90.00 degrees
Last column: nearest neighbours and their distance in Å.
Fractional positions:
Er 0.0000 0.0000 0.5000  2 N 2.34
Er 0.0000 0.5000 0.0000  2 N 2.34
Sc 0.5000 0.0000 0.0000  2 N 2.21
Ga 0.5000 0.5000 0.5000  8 Er 3.22, 4 Sc 3.32
N 0.0000 0.0000 0.0000  2 Sc 2.21, 4 Er 2.34

Results
Crystal system   tetragonal
Electronic total energy   -6.407 eV per atom

***

Computed, not measured: crystalline Er4GaSnN at its relaxed geometry at the PBE-GGA level of DFT.

Cell lengths 6.5209, 6.5255, 8.4552 Å; angles 90.00, 112.68, 90.00 degrees
Last column: nearest neighbours and their distance in Å.
Fractional positions:
Er 0.9187 0.2500 0.8374  1 N 2.66
Er 0.4092 0.7500 0.8185  1 N 2.46
Er 0.0813 0.7500 0.1626  1 N 2.66
Er 0.5908 0.2500 0.1815  1 N 2.46
Er 0.5000 0.5000 0.5000  2 N 2.31
Er 0.0000 0.0000 0.5000  2 N 2.31
Er 0.5000 0.0000 0.5000  2 N 2.31
Er 0.0000 0.5000 0.5000  2 N 2.31
Ga 0.1151 0.2500 0.2303  9 Er 3.07-3.31
Ga 0.8849 0.7500 0.7697  9 Er 3.07-3.31
Sn 0.6073 0.7500 0.2146  9 Er 3.09-3.29
Sn 0.3927 0.2500 0.7854  9 Er 3.09-3.29
N 0.2515 0.7500 0.5030  5 Er 2.31-2.46
N 0.7485 0.2500 0.4970  5 Er 2.31-2.46

Results
Crystal system   orthorhombic
Electronic total energy   -5.711 eV per atom

***

Computed, not measured: crystalline TbEr2GaN at its relaxed geometry at the PBE-GGA level of DFT.

Cell lengths 4.7770, 4.6957, 4.6957 Å; angles 90.00, 90.00, 90.00 degrees
Last column: nearest neighbours and their distance in Å.
Fractional positions:
Tb 0.5000 0.0000 0.0000  2 N 2.39
Er 0.0000 0.0000 0.5000  2 N 2.35
Er 0.0000 0.5000 0.0000  2 N 2.35
Ga 0.5000 0.5000 0.5000  4 Tb 3.32, 8 Er 3.35
N 0.0000 0.0000 0.0000  4 Er 2.35, 2 Tb 2.39

Results
Crystal system   tetragonal
Electronic total energy   -6.007 eV per atom

***

| no. | formation energy (no corrections) (eV/atom) |
| --- | --- |
| 1 | -0.813 |
| 2 | -0.499 |
| 3 | -1.246 |
| 4 | -0.841 |
| 5 | -0.973 |
| 6 | -1.045 |
| 7 | -0.911 |
| 8 | -0.986 |